1.
The following is a DFT calculation (GGA-PBE) of SrSmCdIn after structural relaxation.

Lattice parameters (Å, degrees): 5.568 5.568 5.568 60.00 60.00 60.00
Fractional coordinates of all 4 atoms:
Sr  0.000  0.000  0.000
Sm  0.500  0.500  0.500
Cd  0.750  0.750  0.750
In  0.250  0.250  0.250

- Formation energy: -1.47 eV/f.u.
- Energy above the most stable polymorph in this dataset: 0.024 eV/atom

2.
The following is a DFT calculation (GGA-PBE) of SmCdIn2Te4 after structural relaxation.

Lattice parameters (Å, degrees): 7.770 4.417 8.030 90.00 109.45 90.00
Fractional coordinates of all 8 atoms:
Sm  0.000  0.000  0.000
Cd  0.500  0.500  0.000
In  0.000  0.500  0.500
In  0.500  0.000  0.500
Te  0.241  0.500  0.241
Te  0.259  0.000  0.766
Te  0.741  0.000  0.234
Te  0.759  0.500  0.759

- E_form (uncorrected): -0.598 eV per atom

3.
The following is a DFT calculation (GGA-PBE) of Sm2ThCd2In2 after structural relaxation.

Lattice parameters (Å, degrees): 9.488 9.488 9.488 30.65 30.65 30.65
Fractional coordinates of all 7 atoms:
Sm  0.129  0.129  0.129
Sm  0.871  0.871  0.871
Th  0.000  0.000  0.000
Cd  0.404  0.404  0.404
Cd  0.596  0.596  0.596
In  0.264  0.264  0.264
In  0.736  0.736  0.736

- Formation energy: -1.36 eV/f.u.